First-principles (PBEsol) data for an optimized crystal structure of RbLaH2O, as listed in the Alexandria database.

a b c (Å): 4.194 4.194 5.080
angles (deg): 90.00 90.00 90.00
Fractional positions:
O1 0.000 0.000 0.500
H1 0.500 0.000 0.000
H2 0.000 0.500 0.000
La1 0.500 0.500 0.500
Rb1 0.000 0.000 0.000

Computed properties:
E_tot = -18.74 eV/cell

---

First-principles (PBEsol) data for an optimized crystal structure of LaH3S3O12, as listed in the Alexandria database.

a b c (Å): 5.832 9.470 9.470
angles (deg): 120.00 90.00 90.00
Fractional positions:
La1 0.261 0.333 0.667
La2 0.761 0.667 0.333
O1 0.472 0.419 0.242
O2 0.256 0.033 0.558
O3 0.756 0.967 0.442
O4 0.972 0.581 0.758
O5 0.724 0.798 0.798
O6 0.472 0.823 0.581
O7 0.724 0.000 0.202
O8 0.562 0.204 0.462
O9 0.562 0.538 0.742
O10 0.224 0.798 0.000
O11 0.972 0.242 0.823
O12 0.062 0.462 0.258
O13 0.756 0.558 0.525
O14 0.224 0.202 0.202
O15 0.062 0.796 0.538
O16 0.224 0.000 0.798
O17 0.256 0.442 0.475
O18 0.724 0.202 0.000
O19 0.472 0.758 0.177
O20 0.062 0.742 0.204
O21 0.972 0.177 0.419
O22 0.256 0.525 0.967
O23 0.562 0.258 0.796
O24 0.756 0.475 0.033
S1 0.752 0.302 0.911
S2 0.252 0.911 0.609
S3 0.752 0.089 0.391
S4 0.752 0.609 0.698
S5 0.252 0.391 0.302
S6 0.252 0.698 0.089
H1 0.116 0.169 0.264
H2 0.616 0.264 0.096
H3 0.616 0.831 0.736
H4 0.616 0.904 0.169
H5 0.116 0.736 0.904
H6 0.116 0.096 0.831

Computed properties:
E_tot = -245.49 eV/cell

---

First-principles (PBEsol) data for an optimized crystal structure of LaH2Os, as listed in the Alexandria database.

a b c (Å): 4.308 4.308 6.356
angles (deg): 109.81 109.81 90.00
Fractional positions:
H1 0.125 0.957 0.750
H2 0.043 0.375 0.250
H3 0.625 0.793 0.750
H4 0.207 0.875 0.250
La1 0.750 0.250 0.500
La2 0.500 0.500 0.000
Os1 0.250 0.750 0.500
Os2 0.000 0.000 0.000

Computed properties:
E_tot = -48.65 eV/cell

---

First-principles (PBEsol) data for an optimized crystal structure of La2H2Pb, as listed in the Alexandria database.

a b c (Å): 4.252 4.252 6.205
angles (deg): 110.04 110.04 90.00
Fractional positions:
Pb1 0.000 0.000 0.000
La1 0.349 0.349 0.698
La2 0.651 0.651 0.302
H1 0.750 0.250 0.500
H2 0.250 0.750 0.500

Computed properties:
E_tot = -24.76 eV/cell